Material: Ca2AcMg3
Method: DFT, PBE
State: optimized geometry

The density of states at the Fermi level comes out at 6.95 states/eV per cell. The calculation puts the energy at -2.225 eV per atom.

It has space group P4/mmm (No. 123), with a = 4.029 Å, b = 4.029 Å, c = 11.989 Å, α = 90.00°, β = 90.00° and γ = 90.00°. The distinct sites, in fractional coordinates, are Ca at (0.000, 0.000, 0.161), Ac at (0.000, 0.000, 0.500), Mg at (0.500, 0.500, 0.000) and Mg at (0.500, 0.500, 0.319).